# 1
Below is a relaxed structure of Li3ThNp2S6, with properties calculated at the GGA-PBE level.

Lattice parameters (Å, degrees): 6.8562 6.8562 6.6164 99.93 99.93 119.99
Closest atoms and distances in Å follow each position.
Element x y z (fractional)
1 Li 0.5000 0.5000 0.5000  6 S 2.71-2.75
2 Li 0.1692 0.8308 0.5000  6 S 2.70-2.77
3 Li 0.8308 0.1692 0.5000  6 S 2.70-2.77
4 S 0.5770 0.9146 0.7434  3 Li 2.70-2.75, 2 Np 2.77-2.78, 1 Th 2.81
5 S 0.7491 0.7491 0.2584  3 Li 2.71-2.77, 2 Np 2.78, 1 Th 2.81
6 S 0.0854 0.4230 0.2566  3 Li 2.70-2.75, 2 Np 2.77-2.78, 1 Th 2.81
7 S 0.9146 0.5770 0.7434  3 Li 2.70-2.75, 2 Np 2.77-2.78, 1 Th 2.81
8 S 0.2509 0.2509 0.7416  3 Li 2.71-2.77, 2 Np 2.78, 1 Th 2.81
9 S 0.4230 0.0854 0.2566  3 Li 2.70-2.75, 2 Np 2.77-2.78, 1 Th 2.81
10 Np 0.3337 0.6663 0.0000  6 S 2.77-2.78
11 Np 0.6663 0.3337 0.0000  6 S 2.77-2.78
12 Th 0.0000 0.0000 0.0000  6 S 2.81

Crystal system: monoclinic
Final energy, eV/atom: -6.78
Symmetry: C2/m, No. 12
Uncorrected formation energy, eV/atom: -1.460

# 2
Below is a relaxed structure of AcErZnIn, with properties calculated at the GGA-PBE level.

Lattice parameters (Å, degrees): 5.4573 5.4573 5.4573 60.00 60.00 60.00
Closest atoms and distances in Å follow each position.
Element x y z (fractional)
1 Zn 0.0000 0.0000 0.0000  4 Er 3.34, 4 Ac 3.34
2 Ac 0.2500 0.2500 0.2500  4 In 3.34, 4 Zn 3.34
3 In 0.5000 0.5000 0.5000  4 Ac 3.34, 4 Er 3.34
4 Er 0.7500 0.7500 0.7500  4 In 3.34, 4 Zn 3.34

Crystal system: cubic
Final energy, eV/atom: -3.48
Symmetry: F-43m, No. 216

# 3
Below is a relaxed structure of Ca3SnAs, with properties calculated at the GGA-PBE level.

Lattice parameters (Å, degrees): 5.5307 5.5307 5.5307 90.00 90.00 90.00
Closest atoms and distances in Å follow each position.
Element x y z (fractional)
1 As 0.0000 0.0000 0.0000  6 Ca 2.77
2 Ca 0.0000 0.5000 0.0000  2 As 2.77
3 Ca 0.0000 0.0000 0.5000  2 As 2.77
4 Ca 0.5000 0.0000 0.0000  2 As 2.77
5 Sn 0.5000 0.5000 0.5000  12 Ca 3.91

Crystal system: cubic
Final energy, eV/atom: -3.63
Excess energy over the best structure of this formula in the dataset, meV/atom: 0
Symmetry: Pm-3m, No. 221

# 4
Below is a relaxed structure of Tl2AgAu2, with properties calculated at the GGA-PBE level.

Lattice parameters (Å, degrees): 7.4109 7.4109 4.3146 90.00 90.00 90.00
Closest atoms and distances in Å follow each position.
Element x y z (fractional)
1 Tl 0.1709 0.6709 0.5000  6 Au 2.95-3.15
2 Tl 0.3291 0.1709 0.5000  6 Au 2.95-3.15
3 Tl 0.6709 0.8291 0.5000  6 Au 2.95-3.15
4 Tl 0.8291 0.3291 0.5000  6 Au 2.95-3.15
5 Ag 0.5000 0.5000 0.0000  4 Au 2.88
6 Ag 0.0000 0.0000 0.0000  4 Au 2.88
7 Au 0.1369 0.3631 0.0000  1 Au 2.87, 2 Ag 2.88, 6 Tl 2.95-3.15
8 Au 0.3631 0.8631 0.0000  1 Au 2.87, 2 Ag 2.88, 6 Tl 2.95-3.15
9 Au 0.6369 0.1369 0.0000  1 Au 2.87, 2 Ag 2.88, 6 Tl 2.95-3.15
10 Au 0.8631 0.6369 0.0000  1 Au 2.87, 2 Ag 2.88, 6 Tl 2.95-3.15

Crystal system: tetragonal
Final energy, eV/atom: -2.78
Excess energy over the best structure of this formula in the dataset, meV/atom: 0
Symmetry: P4/mbm, No. 127